VASP calculation (PBE-GGA) on an optimized crystal structure of CuSbI4.

The value obtained for the raw formation energy is -185 meV/atom. The energy above the most stable polymorph in this dataset is 0.2 kJ per mole of atoms. The volume is 39.19 Å³/atom.

a = 7.4481 Å, b = 4.1650 Å, c = 7.5984 Å
α = 90.00°, β = 94.02°, γ = 90.00°
Last column: nearest neighbours and their distance in Å.
Sites, in units of the cell vectors:
Cu 0.0000 0.0000 0.0000  4 I 2.82
Sb 0.0000 0.5000 0.5000  6 I 3.05-3.06
I 0.2028 0.5000 0.1650  2 Cu 2.82, 1 Sb 3.05
I 0.2575 0.0000 0.6704  2 Sb 3.06, 1 Cu 3.26
I 0.7425 0.0000 0.3296  2 Sb 3.06, 1 Cu 3.26
I 0.7972 0.5000 0.8350  2 Cu 2.82, 1 Sb 3.05